# CoSn2PbO | Alexandria via LeMat-Bulk | PBE+U | relaxed
data_CoSn2PbO
_chemical_formula_sum 'Co1 Sn2 Pb1 O1'
_cell_length_a 5.7576
_cell_length_b 3.4972
_cell_length_c 5.7576
_cell_angle_alpha 90.00
_cell_angle_beta 90.00
_cell_angle_gamma 90.00
_symmetry_space_group_name_H-M 'P 1'
_symmetry_Int_Tables_number 1
_symmetry_space_group_name_Hall 'P 1'
loop_
_atom_site_label
_atom_site_fract_x
_atom_site_fract_y
_atom_site_fract_z
_atom_site_occupancy
Pb1 0.5000 0.5000 0.5000 1
Co1 0.0000 0.0000 0.0000 1
Sn1 0.0000 0.0000 0.5000 1
Sn2 0.5000 0.0000 0.0000 1
O1 0.0000 0.5000 0.0000 1
# * DFT total energy: -4.48 eV/atom
# * magnetization: 2.1 μB/f.u.
# * crystal system: tetragonal